The following is a DFT calculation (PBE-GGA) of an optimized crystal structure of RbTh2Te4.

a = 4.596 Å, b = 7.867 Å, c = 15.829 Å
α = 90.00°, β = 90.00°, γ = 106.98°
Positions (direct):
1 Rb 0.609 0.218 0.750
2 Rb 0.391 0.782 0.250
3 Th 0.129 0.259 0.437
4 Th 0.871 0.741 0.937
5 Th 0.129 0.259 0.063
6 Th 0.871 0.741 0.563
7 Te 0.767 0.533 0.111
8 Te 0.767 0.533 0.389
9 Te 0.233 0.467 0.889
10 Te 0.233 0.467 0.611
11 Te 0.923 0.845 0.750
12 Te 0.077 0.155 0.250
13 Te 0.500 0.000 0.000
14 Te 0.500 0.000 0.500

Output
M_tot: 0.0 μB/f.u.
ΔE to the lowest computed polymorph: 0 meV/atom
final energy: -0.192 Ha/atom
raw formation energy: -1.182 eV per atom